# 1
Here is crystalline CaCdTc2Ni at its relaxed geometry from Alexandria. Energies are from PBE.

Cell lengths 4.869, 4.869, 4.495 Å; angles 90.00, 90.00, 90.00 degrees
Fractional coordinates of all 5 atoms:
Ca 0.000 0.000 0.000
Cd 0.500 0.500 0.500
Tc 0.000 0.500 0.000
Tc 0.500 0.000 0.000
Ni 0.000 0.000 0.500

Energy of formation: 2.014 eV per atom
Space group: No. 123
Uncorrected energy: -19.4 eV per cell

---

# 2
Here is crystalline CsCd2In4Pb at its relaxed geometry from Alexandria. Energies are from PBE.

Cell lengths 11.585, 11.585, 11.585 Å; angles 26.42, 26.42, 26.42 degrees
Fractional coordinates of all 8 atoms:
Cs 0.000 0.000 0.000
Cd 0.233 0.233 0.233
Cd 0.767 0.767 0.767
In 0.128 0.128 0.128
In 0.409 0.409 0.409
In 0.591 0.591 0.591
In 0.872 0.872 0.872
Pb 0.500 0.500 0.500

Energy of formation: -0.025 eV per atom
Space group: No. 166
Uncorrected energy: -17.5 eV per cell

---

# 3
Here is crystalline LiZrMo2 at its relaxed geometry from Alexandria. Energies are from PBE.

Cell lengths 3.357, 4.273, 4.638 Å; angles 90.00, 90.00, 90.00 degrees
Fractional coordinates of all 4 atoms:
Li 0.000 0.000 0.000
Zr 0.500 0.500 0.000
Mo 0.000 0.500 0.500
Mo 0.500 0.000 0.500

Energy of formation: 0.234 eV per atom
Excess energy over the best structure of this formula in the dataset: 0.0429 eV/atom
Space group: No. 47
Uncorrected energy: -31.2 eV per cell

---

# 4
Here is crystalline TlTe2 at its relaxed geometry from Alexandria. Energies are from PBE.

Cell lengths 6.126, 7.619, 5.168 Å; angles 90.00, 90.00, 90.00 degrees
Fractional coordinates of all 6 atoms:
Tl 0.000 0.000 0.000
Tl 0.500 0.500 0.500
Te 0.185 0.401 0.000
Te 0.315 0.901 0.500
Te 0.685 0.099 0.500
Te 0.815 0.599 0.000

E_form (uncorrected): -0.22 eV per formula unit
Excess energy over the best structure of this formula in the dataset: 0.0664 eV/atom
Space group: No. 58
Uncorrected energy: -17.7 eV per cell

---

# 5
Here is crystalline PuPaTe4 at its relaxed geometry from Alexandria. Energies are from PBE.

Cell lengths 5.210, 5.210, 7.407 Å; angles 90.21, 90.21, 90.03 degrees
Fractional coordinates of all 6 atoms:
Pu 0.000 0.000 0.000
Pa 0.500 0.500 0.500
Te 0.000 0.499 0.743
Te 0.000 0.501 0.257
Te 0.499 0.000 0.743
Te 0.501 0.000 0.257

E_form (uncorrected): -4.86 eV per formula unit
Excess energy over the best structure of this formula in the dataset: 0.0000 eV/atom
Space group: No. 12
Uncorrected energy: -41.3 eV per cell

---

# 6
Here is crystalline PrNd2TmHg4 at its relaxed geometry from Alexandria. Energies are from PBE.

Cell lengths 9.389, 9.389, 9.389 Å; angles 33.21, 33.21, 33.21 degrees
Fractional coordinates of all 8 atoms:
Pr 0.000 0.000 0.000
Nd 0.249 0.249 0.249
Nd 0.751 0.751 0.751
Tm 0.500 0.500 0.500
Hg 0.128 0.128 0.128
Hg 0.379 0.379 0.379
Hg 0.621 0.621 0.621
Hg 0.872 0.872 0.872

Energy of formation: -0.462 eV per atom
Space group: No. 166
Uncorrected energy: -23.7 eV per cell

---

# 7
Here is crystalline Sm2Si3NiPt12 at its relaxed geometry from Alexandria. Energies are from PBE.

Cell lengths 7.705, 7.705, 7.705 Å; angles 63.94, 63.94, 63.94 degrees
Fractional coordinates of all 18 atoms:
Sm 0.120 0.120 0.120
Sm 0.880 0.880 0.880
Si 0.000 0.500 0.500
Si 0.500 0.000 0.500
Si 0.500 0.500 0.000
Ni 0.500 0.500 0.500
Pt 0.131 0.624 0.624
Pt 0.142 0.142 0.607
Pt 0.142 0.607 0.142
Pt 0.376 0.376 0.869
Pt 0.376 0.869 0.376
Pt 0.393 0.858 0.858
Pt 0.607 0.142 0.142
Pt 0.624 0.131 0.624
Pt 0.624 0.624 0.131
Pt 0.858 0.393 0.858
Pt 0.858 0.858 0.393
Pt 0.869 0.376 0.376

E_form (uncorrected): -8.22 eV per formula unit
Space group: No. 166
Uncorrected energy: -112.2 eV per cell

---

# 8
Here is crystalline FeSbTe2 at its relaxed geometry from Alexandria. Energies are from PBE.

Cell lengths 4.843, 4.843, 6.799 Å; angles 109.90, 109.90, 45.32 degrees
Fractional coordinates of all 4 atoms:
Fe 0.000 0.000 0.000
Sb 0.288 0.288 0.997
Te 0.447 0.447 0.699
Te 0.615 0.615 0.295

E_form (uncorrected): 0.41 eV per formula unit
Space group: No. 8
Uncorrected energy: -18.5 eV per cell

---

# 9
Here is crystalline Sr2SiIr at its relaxed geometry from Alexandria. Energies are from PBE.

Cell lengths 4.171, 6.017, 6.017 Å; angles 47.59, 90.00, 90.00 degrees
Fractional coordinates of all 4 atoms:
Sr 0.000 0.000 0.000
Sr 0.500 0.289 0.289
Si 0.500 0.598 0.598
Ir 0.000 0.694 0.694

E_form (uncorrected): -1.97 eV per formula unit
Space group: No. 38
Uncorrected energy: -19.6 eV per cell

---

# 10
Here is crystalline K3SiBr2F6 at its relaxed geometry from Alexandria. Energies are from PBE.

Cell lengths 7.436, 7.436, 6.136 Å; angles 90.02, 90.02, 49.00 degrees
Fractional coordinates of all 12 atoms:
K 0.000 0.000 0.000
K 0.000 0.500 0.500
K 0.500 0.000 0.500
Si 0.500 0.500 0.500
Br 0.240 0.240 0.983
Br 0.760 0.760 0.017
F 0.251 0.649 0.665
F 0.351 0.749 0.335
F 0.392 0.392 0.351
F 0.608 0.608 0.649
F 0.649 0.251 0.665
F 0.749 0.351 0.335

E_form (uncorrected): -30.19 eV per formula unit
Space group: No. 12
Uncorrected energy: -53.5 eV per cell

---

# 11
Here is crystalline KTeCl6 at its relaxed geometry from Alexandria. Energies are from PBE.

Cell lengths 7.345, 7.345, 10.957 Å; angles 90.81, 90.81, 78.65 degrees
Fractional coordinates of all 16 atoms:
K 0.009 0.991 0.750
K 0.991 0.009 0.250
Te 0.000 0.500 0.000
Te 0.500 0.000 0.500
Cl 0.174 0.182 0.506
Cl 0.182 0.174 0.006
Cl 0.205 0.575 0.839
Cl 0.206 0.595 0.158
Cl 0.405 0.794 0.342
Cl 0.425 0.795 0.661
Cl 0.575 0.205 0.339
Cl 0.595 0.206 0.658
Cl 0.794 0.405 0.842
Cl 0.795 0.425 0.161
Cl 0.818 0.826 0.994
Cl 0.826 0.818 0.494

E_form (uncorrected): -6.90 eV per formula unit
Excess energy over the best structure of this formula in the dataset: 0.0000 eV/atom
Space group: No. 15
Uncorrected energy: -44.4 eV per cell

---

# 12
Here is crystalline CeGdCdBi at its relaxed geometry from Alexandria. Energies are from PBE.

Cell lengths 5.467, 5.467, 5.467 Å; angles 60.00, 60.00, 60.00 degrees
Fractional coordinates of all 4 atoms:
Ce 0.000 0.000 0.000
Gd 0.500 0.500 0.500
Cd 0.250 0.250 0.250
Bi 0.750 0.750 0.750

Energy of formation: -0.426 eV per atom
Space group: No. 216
Uncorrected energy: -26.5 eV per cell